[1]
{"formula": "Tb5Te4Ru", "functional": "GGA-PBE", "state": "optimized geometry", "cell": [[0.912, 4.499, 4.133], [0.918, -2.454, 7.084], [7.257, 1.817, 1.035]], "species": ["Tb", "Tb", "Tb", "Tb", "Tb", "Te", "Te", "Te", "Te", "Ru"], "fractional_positions": [[0.910, 0.348, 0.834], [0.258, 0.834, 0.652], [0.744, 0.166, 0.348], [0.092, 0.652, 0.166], [0.501, 0.000, 0.000], [0.410, 0.401, 0.782], [0.810, 0.782, 0.599], [0.192, 0.218, 0.401], [0.592, 0.599, 0.218], [0.001, 0.000, 0.000]], "formation_energy_uncorrected_ev_per_atom": -1.12}


[2]
{"formula": "InNiCl2", "functional": "GGA-PBE", "state": "optimized geometry", "cell": [[3.472, 0.000, 0.000], [0.000, 4.719, -0.036], [0.000, 2.257, 6.364]], "species": ["Ni", "Cl", "Cl", "In"], "fractional_positions": [[0.500, 0.963, 0.683], [0.000, 0.861, 0.911], [0.500, 0.160, 0.340], [0.000, 0.517, 0.566]], "formation_energy_uncorrected_ev_per_atom": -0.43, "polymorph_energy_mev_per_atom": 45.9}


[3]
{"formula": "Nd3Dy2Y6Pu", "functional": "GGA-PBE", "state": "optimized geometry", "cell": [[6.210, -0.002, -0.015], [-3.105, 5.378, -0.015], [-1.009, -1.746, 11.624]], "species": ["Nd", "Nd", "Nd", "Dy", "Dy", "Y", "Y", "Y", "Y", "Y", "Y", "Pu"], "fractional_positions": [[0.167, 0.833, 0.500], [0.833, 0.167, 0.500], [0.500, 0.500, 0.500], [0.333, 0.667, 0.000], [0.667, 0.333, 0.000], [0.918, 0.589, 0.755], [0.752, 0.752, 0.245], [0.082, 0.411, 0.245], [0.589, 0.918, 0.755], [0.248, 0.248, 0.755], [0.411, 0.082, 0.245], [0.000, 0.000, 0.000]], "e_tot_ha_per_atom": -0.233}


[4]
{"formula": "FeNi2PdPt2", "functional": "GGA-PBE", "state": "optimized geometry", "cell": [[4.266, 0.000, 0.000], [0.000, 7.447, 0.000], [0.000, 0.000, 5.218]], "species": ["Fe", "Fe", "Ni", "Ni", "Ni", "Ni", "Pd", "Pd", "Pt", "Pt", "Pt", "Pt"], "fractional_positions": [[0.000, 0.000, 0.000], [0.500, 0.500, 0.500], [0.500, 0.167, 0.260], [0.000, 0.667, 0.240], [0.500, 0.833, 0.740], [0.000, 0.333, 0.760], [0.500, 0.500, 0.000], [0.000, 0.000, 0.500], [0.500, 0.836, 0.242], [0.500, 0.164, 0.758], [0.000, 0.664, 0.742], [0.000, 0.336, 0.258]], "e_tot_ha_per_atom": -0.230}


no.,density of states at the Fermi level (states/eV/cell)
1,7.6
2,1.9
3,23.4
4,13.6